Entry 1:
Below is a relaxed Ni2GeHRh crystal, with properties calculated at the PBE-GGA level.

Values from the calculation:
- Energy above the lowest structure with this stoichiometry: 0.000 eV per atom
- Space-group type: P4/mmm (123)

Lattice parameters (Å, degrees): 3.686 3.686 3.848 90.00 90.00 90.00
Positions (direct):
Ni 0.000 0.500 0.000
Ni 0.500 0.000 0.000
Ge 0.000 0.000 0.500
H 0.500 0.500 0.000
Rh 0.500 0.500 0.500

Entry 2:
Below is a relaxed LiIr2Au crystal, with properties calculated at the PBE-GGA level.

Values from the calculation:
- ΔE_f: 0.34 eV/f.u.
- Energy above the lowest structure with this stoichiometry: 0.135 eV per atom
- Space-group type: I-4m2 (119)

Lattice parameters (Å, degrees): 4.696 4.696 4.696 130.54 130.54 72.55
Positions (direct):
Li 0.000 0.000 0.000
Ir 0.500 0.500 0.000
Ir 0.750 0.250 0.500
Au 0.250 0.750 0.500

Entry 3:
Below is a relaxed LiAlZn crystal, with properties calculated at the PBE-GGA level.

Values from the calculation:
- ΔE_f: -0.15 eV/f.u.
- Energy above the lowest structure with this stoichiometry: 0.068 eV per atom
- Space-group type: P3m1 (156)

Lattice parameters (Å, degrees): 2.871 2.871 6.746 90.00 90.00 120.00
Positions (direct):
Li 0.000 0.000 0.000
Al 0.333 0.667 0.660
Zn 0.667 0.333 0.333

Entry 4:
Below is a relaxed Pm2SmHoTm5 crystal, with properties calculated at the PBE-GGA level.

Values from the calculation:
- ΔE_f: 2.43 eV/f.u.
- Space-group type: I4/mcm (140)

Lattice parameters (Å, degrees): 9.790 9.790 9.790 127.55 127.55 77.36
Positions (direct):
Pm 0.116 0.616 0.732
Pm 0.384 0.116 0.500
Pm 0.616 0.884 0.500
Pm 0.884 0.384 0.268
Sm 0.250 0.250 0.000
Sm 0.750 0.750 0.000
Ho 0.250 0.750 0.500
Ho 0.750 0.250 0.500
Tm 0.000 0.000 0.000
Tm 0.073 0.152 0.500
Tm 0.152 0.652 0.079
Tm 0.348 0.427 0.500
Tm 0.427 0.927 0.079
Tm 0.500 0.500 0.000
Tm 0.573 0.073 0.921
Tm 0.652 0.573 0.500
Tm 0.848 0.348 0.921
Tm 0.927 0.848 0.500

Entry 5:
Below is a relaxed Tb3Pm8Tm2 crystal, with properties calculated at the PBE-GGA level.

Values from the calculation:
- ΔE_f: 2.73 eV/f.u.
- Energy above the lowest structure with this stoichiometry: 0.194 eV per atom
- Space-group type: Cmmm (65)

Lattice parameters (Å, degrees): 10.817 10.817 5.725 90.00 90.00 138.10
Positions (direct):
Tb 0.000 0.000 0.000
Tb 0.287 0.287 0.500
Tb 0.713 0.713 0.500
Pm 0.132 0.868 0.500
Pm 0.187 0.401 0.000
Pm 0.327 0.673 0.500
Pm 0.401 0.187 0.000
Pm 0.599 0.813 0.000
Pm 0.673 0.327 0.500
Pm 0.813 0.599 0.000
Pm 0.868 0.132 0.500
Tm 0.240 0.760 0.000
Tm 0.760 0.240 0.000

Entry 6:
Below is a relaxed CaLa2Nd6Ho3 crystal, with properties calculated at the PBE-GGA level.

Values from the calculation:
- ΔE_f: 0.38 eV/f.u.
- Space-group type: C2/m (12)

Lattice parameters (Å, degrees): 6.360 6.360 12.096 95.02 95.02 120.03
Positions (direct):
Ca 0.000 0.000 0.000
La 0.333 0.667 0.000
La 0.667 0.333 0.000
Nd 0.087 0.424 0.258
Nd 0.250 0.250 0.741
Nd 0.424 0.087 0.258
Nd 0.576 0.913 0.742
Nd 0.750 0.750 0.259
Nd 0.913 0.576 0.742
Ho 0.166 0.834 0.500
Ho 0.500 0.500 0.500
Ho 0.834 0.166 0.500